First-principles (GGA-PBE) data for an optimized crystal structure of In2MoRu, as listed in Alexandria via LeMat-Bulk.

abc: 5.361 5.361 4.849
angles: 107.08 107.08 33.03
Atoms (fractional coordinates):
In 0.000 0.000 0.000
In 0.220 0.220 0.662
Mo 0.757 0.757 0.189
Ru 0.468 0.468 0.478

Calculated values
Electronic total energy, eV/cell: -24.49
DFT formation energy, meV/atom: 274
Spin magnetization, μB per formula unit: 0.000
Energy above the most stable polymorph in this dataset, kJ/mol of formula units: 61.0



First-principles (GGA-PBE) data for an optimized crystal structure of In4Mo2Ru, as listed in Alexandria via LeMat-Bulk.

abc: 7.679 7.679 7.679
angles: 140.48 140.48 57.12
Atoms (fractional coordinates):
In 0.000 0.500 0.500
In 0.197 0.197 0.000
In 0.500 0.000 0.500
In 0.803 0.803 0.000
Mo 0.416 0.416 0.000
Mo 0.584 0.584 0.000
Ru 0.000 0.000 0.000

Calculated values
Electronic total energy, eV/cell: -36.28
DFT formation energy, meV/atom: 802
Spin magnetization, μB per formula unit: 0.000



First-principles (GGA-PBE) data for an optimized crystal structure of In2MoRu, as listed in Alexandria via LeMat-Bulk.

abc: 9.202 9.202 9.202
angles: 18.97 18.97 18.97
Atoms (fractional coordinates):
In 0.247 0.247 0.247
In 0.753 0.753 0.753
Mo 0.000 0.000 0.000
Ru 0.500 0.500 0.500

Calculated values
Electronic total energy, eV/cell: -24.06
DFT formation energy, meV/atom: 382
Spin magnetization, μB per formula unit: 0.000
Energy above the most stable polymorph in this dataset, kJ/mol of formula units: 102.6



First-principles (GGA-PBE) data for an optimized crystal structure of In2MoRu, as listed in Alexandria via LeMat-Bulk.

abc: 5.823 5.823 5.823
angles: 149.74 131.98 57.82
Atoms (fractional coordinates):
In 0.000 0.000 0.000
In 0.713 0.213 0.500
Mo 0.450 0.450 0.000
Ru 0.240 0.740 0.500

Calculated values
Electronic total energy, eV/cell: -24.36
DFT formation energy, meV/atom: 306
Spin magnetization, μB per formula unit: 0.000
Energy above the most stable polymorph in this dataset, kJ/mol of formula units: 73.2



First-principles (GGA-PBE) data for an optimized crystal structure of InMo3Ru, as listed in Alexandria via LeMat-Bulk.

abc: 4.712 4.712 4.712
angles: 90.00 90.00 90.00
Atoms (fractional coordinates):
In 0.000 0.000 0.000
Mo 0.000 0.500 0.500
Mo 0.500 0.000 0.500
Mo 0.500 0.500 0.000
Ru 0.500 0.500 0.500

Calculated values
Electronic total energy, eV/cell: -37.52
DFT formation energy, meV/atom: 1397
Spin magnetization, μB per formula unit: 0.406
Energy above the most stable polymorph in this dataset, kJ/mol of formula units: 0.0



First-principles (GGA-PBE) data for an optimized crystal structure of InMo2Ru2, as listed in Alexandria via LeMat-Bulk.

abc: 7.670 7.670 2.850
angles: 90.00 90.00 90.00
Atoms (fractional coordinates):
In 0.000 0.000 0.000
In 0.500 0.500 0.000
Mo 0.122 0.378 0.000
Mo 0.378 0.878 0.000
Mo 0.622 0.122 0.000
Mo 0.878 0.622 0.000
Ru 0.165 0.665 0.500
Ru 0.335 0.165 0.500
Ru 0.665 0.835 0.500
Ru 0.835 0.335 0.500

Calculated values
Electronic total energy, eV/cell: -83.55
DFT formation energy, meV/atom: 235
Spin magnetization, μB per formula unit: 0.000
Energy above the most stable polymorph in this dataset, kJ/mol of formula units: 48.5



First-principles (GGA-PBE) data for an optimized crystal structure of In2MoRu2, as listed in Alexandria via LeMat-Bulk.

abc: 6.547 6.547 4.248
angles: 90.00 90.00 90.00
Atoms (fractional coordinates):
In 0.172 0.328 0.000
In 0.328 0.828 0.000
In 0.672 0.172 0.000
In 0.828 0.672 0.000
Mo 0.000 0.000 0.500
Mo 0.500 0.500 0.500
Ru 0.137 0.637 0.500
Ru 0.363 0.137 0.500
Ru 0.637 0.863 0.500
Ru 0.863 0.363 0.500

Calculated values
Electronic total energy, eV/cell: -67.02
DFT formation energy, meV/atom: 270
Spin magnetization, μB per formula unit: 0.000



First-principles (GGA-PBE) data for an optimized crystal structure of InMoRu4, as listed in Alexandria via LeMat-Bulk.

abc: 5.121 5.121 5.121
angles: 60.00 60.00 60.00
Atoms (fractional coordinates):
In 0.000 0.000 0.000
Mo 0.750 0.750 0.750
Ru 0.375 0.375 0.375
Ru 0.375 0.375 0.876
Ru 0.375 0.876 0.375
Ru 0.876 0.375 0.375

Calculated values
Electronic total energy, eV/cell: -48.63
DFT formation energy, meV/atom: 341
Spin magnetization, μB per formula unit: 0.000



First-principles (GGA-PBE) data for an optimized crystal structure of In2MoRu, as listed in Alexandria via LeMat-Bulk.

abc: 3.126 4.642 4.989
angles: 90.00 90.00 90.00
Atoms (fractional coordinates):
In 0.000 0.000 0.000
In 0.500 0.000 0.500
Mo 0.000 0.500 0.500
Ru 0.500 0.500 0.000

Calculated values
Electronic total energy, eV/cell: -23.76
DFT formation energy, meV/atom: 455
Spin magnetization, μB per formula unit: 0.001
Energy above the most stable polymorph in this dataset, kJ/mol of formula units: 130.7



First-principles (GGA-PBE) data for an optimized crystal structure of In2MoRu, as listed in Alexandria via LeMat-Bulk.

abc: 4.656 4.656 4.656
angles: 60.00 60.00 60.00
Atoms (fractional coordinates):
In 0.000 0.000 0.000
In 0.250 0.250 0.250
Mo 0.500 0.500 0.500
Ru 0.750 0.750 0.750

Calculated values
Electronic total energy, eV/cell: -23.71
DFT formation energy, meV/atom: 468
Spin magnetization, μB per formula unit: 0.000
Energy above the most stable polymorph in this dataset, kJ/mol of formula units: 135.7



First-principles (GGA-PBE) data for an optimized crystal structure of In2MoRu, as listed in Alexandria via LeMat-Bulk.

abc: 3.031 3.031 8.317
angles: 90.00 90.00 90.00
Atoms (fractional coordinates):
In 0.000 0.000 0.000
In 0.500 0.500 0.332
Mo 0.000 0.000 0.584
Ru 0.500 0.500 0.762

Calculated values
Electronic total energy, eV/cell: -25.12
DFT formation energy, meV/atom: 116
Spin magnetization, μB per formula unit: 0.000
Energy above the most stable polymorph in this dataset, kJ/mol of formula units: 0.0



First-principles (GGA-PBE) data for an optimized crystal structure of In2MoRu, as listed in Alexandria via LeMat-Bulk.

abc: 4.654 4.654 4.654
angles: 60.00 60.00 60.00
Atoms (fractional coordinates):
In 0.250 0.250 0.250
In 0.750 0.750 0.750
Mo 0.000 0.000 0.000
Ru 0.500 0.500 0.500

Calculated values
Electronic total energy, eV/cell: -24.15
DFT formation energy, meV/atom: 357
Spin magnetization, μB per formula unit: 2.530
Energy above the most stable polymorph in this dataset, kJ/mol of formula units: 93.1



First-principles (GGA-PBE) data for an optimized crystal structure of In2MoRu, as listed in Alexandria via LeMat-Bulk.

abc: 3.188 3.188 6.940
angles: 90.00 90.00 90.00
Atoms (fractional coordinates):
In 0.000 0.000 0.234
In 0.000 0.000 0.766
Mo 0.500 0.500 0.500
Ru 0.500 0.500 0.000

Calculated values
Electronic total energy, eV/cell: -24.29
DFT formation energy, meV/atom: 323
Spin magnetization, μB per formula unit: 0.132
Energy above the most stable polymorph in this dataset, kJ/mol of formula units: 80.0



First-principles (GGA-PBE) data for an optimized crystal structure of In2MoRu, as listed in Alexandria via LeMat-Bulk.

abc: 4.732 4.732 3.145
angles: 90.00 90.00 90.00
Atoms (fractional coordinates):
In 0.000 0.500 0.000
In 0.500 0.000 0.000
Mo 0.000 0.000 0.500
Ru 0.500 0.500 0.500

Calculated values
Electronic total energy, eV/cell: -24.14
DFT formation energy, meV/atom: 362
Spin magnetization, μB per formula unit: 0.005
Energy above the most stable polymorph in this dataset, kJ/mol of formula units: 94.9



First-principles (GGA-PBE) data for an optimized crystal structure of InMo2Ru2, as listed in Alexandria via LeMat-Bulk.

abc: 7.583 7.583 2.881
angles: 90.00 90.00 90.00
Atoms (fractional coordinates):
In 0.000 0.000 0.000
In 0.500 0.500 0.000
Mo 0.162 0.338 0.500
Mo 0.338 0.838 0.500
Mo 0.662 0.162 0.500
Mo 0.838 0.662 0.500
Ru 0.128 0.628 0.000
Ru 0.372 0.128 0.000
Ru 0.628 0.872 0.000
Ru 0.872 0.372 0.000

Calculated values
Electronic total energy, eV/cell: -84.56
DFT formation energy, meV/atom: 135
Spin magnetization, μB per formula unit: 0.000
Energy above the most stable polymorph in this dataset, kJ/mol of formula units: 0.0